TbTaRu4 | GGA-PBE | optimized geometry

Cell: 5.2236 5.2236 5.2236 Å, 60.00 60.00 60.00°
Fractional coordinates of all 6 atoms:
Tb (0.0000, 0.0000, 0.0000)
Ta (0.2500, 0.2500, 0.2500)
Ru (0.1255, 0.6248, 0.6248)
Ru (0.6248, 0.1255, 0.6248)
Ru (0.6248, 0.6248, 0.1255)
Ru (0.6248, 0.6248, 0.6248)

Values from the calculation:
volume: 16.80 Å³/atom
formation energy from the elements: -0.089 eV/atom
crystal system: cubic
SG: No. 216



BeAgN | GGA-PBE | optimized geometry

Cell: 6.4131 6.4131 6.4131 Å, 151.85 141.64 48.26°
Fractional coordinates of all 6 atoms:
Be (0.4416, 0.1916, 0.2500)
Be (0.5584, 0.8084, 0.7500)
Ag (0.1546, 0.4046, 0.7500)
Ag (0.8454, 0.5954, 0.2500)
N (0.4053, 0.6553, 0.7500)
N (0.5947, 0.3447, 0.2500)

Values from the calculation:
calculated total energy: -5.08 eV/atom
volume: 12.82 Å³/atom
crystal system: orthorhombic
SG: No. 74